Entry 1:
! SbTe2As, relaxed, DFT PBE; values from VASP
&SYSTEM
  ibrav = 0, nat = 4, ntyp = 3
/
ATOMIC_SPECIES
Sb 121.76 Sb.upf
As 74.92 As.upf
Te 127.60 Te.upf
CELL_PARAMETERS angstrom
3.758 0.000 0.000
0.000 3.758 0.000
0.000 0.000 9.203
ATOMIC_POSITIONS crystal
Sb 0.500 0.500 0.780
As 0.000 0.000 0.454
Te 0.000 0.000 0.931
Te 0.500 0.500 0.334
! - DFT total energy: -14.30 eV for the cell shown
! - Crystal system: tetragonal
! - ρ: 5773 kg/m³
! - Symmetry: P4mm, No. 99


Entry 2:
! ErTh3C3, relaxed, DFT PBE; values from VASP
&SYSTEM
  ibrav = 0, nat = 7, ntyp = 3
/
ATOMIC_SPECIES
Er 167.26 Er.upf
Th 232.04 Th.upf
C 12.01 C.upf
CELL_PARAMETERS angstrom
5.208 0.000 0.000
0.000 5.208 0.000
0.000 0.000 5.208
ATOMIC_POSITIONS crystal
Er 0.500 0.500 0.500
Th 0.000 0.500 0.000
Th 0.000 0.000 0.500
Th 0.500 0.000 0.000
C 0.500 0.000 0.500
C 0.500 0.500 0.000
C 0.000 0.500 0.500
! - DFT total energy: -56.12 eV for the cell shown
! - Crystal system: cubic
! - ρ: 10575 kg/m³
! - Symmetry: Pm-3m, No. 221
! - DFT formation energy: -0.232 eV/atom